# Sc2PtF (GGA-PBEsol, relaxed)
data_Sc2PtF
_chemical_formula_sum 'Sc2 Pt1 F1'
_cell_length_a 4.538
_cell_length_b 4.538
_cell_length_c 4.538
_cell_angle_alpha 60.00
_cell_angle_beta 60.00
_cell_angle_gamma 60.00
_space_group_name_H-M_alt 'P 1'
_space_group_IT_number 1
loop_
_space_group_symop_operation_xyz
'x,y,z'
loop_
_atom_site_label
_atom_site_type_symbol
_atom_site_fract_x
_atom_site_fract_y
_atom_site_fract_z
Sc1 Sc 0.250 0.250 0.250
Sc2 Sc 0.750 0.750 0.750
Pt1 Pt 0.000 0.000 0.000
F1 F 0.500 0.500 0.500
# Relative energy among the computed polymorphs, meV/atom: 422
# Formation energy without anion corrections, eV/atom: -1.36
# Fermi-level density of states, states/eV/atom: 1.251
# Calculated density, Mg/m³: 7.64
# E, eV/atom: -6.8892